The following is a PBE calculation of an optimized crystal structure of Ca2Si7Au12, from Alexandria.

Lattice parameters (Å, degrees): 10.149 10.149 4.401 90.00 90.00 120.00
Sites, in units of the cell vectors:
Ca: 0.333 0.667 0.242
Ca: 0.667 0.333 0.758
Si: 0.000 0.000 0.500
Si: 0.112 0.396 0.724
Si: 0.285 0.888 0.724
Si: 0.396 0.285 0.276
Si: 0.604 0.715 0.724
Si: 0.715 0.112 0.276
Si: 0.888 0.604 0.276
Au: 0.073 0.615 0.753
Au: 0.125 0.861 0.217
Au: 0.139 0.264 0.217
Au: 0.264 0.125 0.783
Au: 0.385 0.458 0.753
Au: 0.458 0.073 0.247
Au: 0.542 0.927 0.753
Au: 0.615 0.542 0.247
Au: 0.736 0.875 0.217
Au: 0.861 0.736 0.783
Au: 0.875 0.139 0.783
Au: 0.927 0.385 0.247

Properties
The electronic total energy is -4.079 eV/atom. The uncorrected formation energy comes out at -0.2074 eV per atom. Its theoretical density is 11.17 g cm⁻³. The space group is No. 147.